RbBaB3 | PBE-GGA | relaxed

Cell: 5.1318 5.1318 5.1318 Å, 90.00 90.00 90.00°
Positions (direct):
B  0.0000  0.5000  0.0000
B  0.0000  0.0000  0.5000
B  0.5000  0.0000  0.0000
Ba  0.5000  0.5000  0.5000
Rb  0.0000  0.0000  0.0000

Output
Distance to the lowest polymorph of the same formula: 182 meV per atom
Final energy: -10.3 eV/cell
Formation enthalpy at 0 K: 2.527 eV per atom


Rb2BaB | PBE-GGA | relaxed

Cell: 4.0369 4.0369 12.2477 Å, 89.81 89.91 90.00°
Positions (direct):
B  0.2944  0.4726  0.7582
Ba  0.7941  0.9714  0.8563
Rb  0.2914  0.4655  0.1891
Rb  0.7890  0.9782  0.5603

Output
Final energy: -7.8 eV/cell
Formation enthalpy at 0 K: 0.693 eV per atom


Which formula does entry 2 have? Rb2BaB